The following is a PBE calculation of a relaxed structure of LaZn5Co2, from the Alexandria database.

The calculation puts the calculated formation energy at -0.150 eV/atom. For the density of states at the Fermi level, the calculation gives 4.65 states/eV/f.u.

The structure belongs to space group Immm (No. 71); the cell edges are 3.947, 7.336 and 9.138 Å and the angles 90.00°, 90.00° and 90.00°. The distinct sites, in fractional coordinates, are La at (0.000, 0.000, 0.000), Zn at (0.000, 0.181, 0.338), Zn at (0.000, 0.500, 0.000) and Co at (0.000, 0.500, 0.262).

The following is a PBE calculation of a relaxed structure of La5Zn2Co, from the Alexandria database.

The calculation puts the calculated formation energy at -0.190 eV/atom. For the density of states at the Fermi level, the calculation gives 9.48 states/eV/f.u.

The structure belongs to space group Pbam (No. 55); the cell edges are 8.199, 11.518 and 4.888 Å and the angles 90.00°, 90.00° and 90.00°. The distinct sites, in fractional coordinates, are La at (0.000, 0.000, 0.000), La at (0.138, 0.305, 0.000), La at (0.180, 0.581, 0.500), Zn at (0.071, 0.843, 0.500) and Co at (0.000, 0.500, 0.000).

The following is a PBE calculation of a relaxed structure of La4Zn3Co, from the Alexandria database.

The calculation puts the calculated formation energy at -0.216 eV/atom. For the density of states at the Fermi level, the calculation gives 8.85 states/eV/f.u.

The structure belongs to space group P4/mmm (No. 123); the cell edges are 3.677, 3.677 and 14.960 Å and the angles 90.00°, 90.00° and 90.00°. The distinct sites, in fractional coordinates, are La at (0.000, 0.000, 0.108), La at (0.000, 0.000, 0.372), Zn at (0.500, 0.500, 0.244), Zn at (0.500, 0.500, 0.500) and Co at (0.500, 0.500, 0.000).

The following is a PBE calculation of a relaxed structure of La5Zn2Co2, from the Alexandria database.

The calculation puts the calculated formation energy at -0.142 eV/atom. For the density of states at the Fermi level, the calculation gives 7.95 states/eV/f.u.

The structure belongs to space group Cmce (No. 64); the cell edges are 15.586, 6.895 and 8.835 Å and the angles 90.00°, 90.00° and 90.00°. The distinct sites, in fractional coordinates, are La at (0.000, 0.000, 0.000), La at (0.122, 0.137, 0.323), Zn at (0.208, 0.000, 0.000) and Co at (0.000, 0.140, 0.605).

The following is a PBE calculation of a relaxed structure of La3Zn2Co7, from the Alexandria database.

The calculation puts the calculated formation energy at -0.092 eV/atom. For the density of states at the Fermi level, the calculation gives 16.99 states/eV/f.u.

The structure belongs to space group R-3m (No. 166, hexagonal axes); the cell edges are 5.1579, 5.1579 and 25.0023 Å and the angles 90.00°, 90.00° and 120.00°. The distinct sites, in fractional coordinates, are La at (0.0000, 0.0000, 0.0000), La at (0.0000, 0.0000, 0.1389), Zn at (0.0000, 0.0000, 0.3328), Co at (0.0000, 0.0000, 0.5000) and Co at (0.0036, 0.5018, 0.0821).

The following is a PBE calculation of a relaxed structure of LaZnCo2, from the Alexandria database.

The calculation puts the calculated formation energy at 0.144 eV/atom. For the density of states at the Fermi level, the calculation gives 3.83 states/eV/f.u.

The structure belongs to space group I-42d (No. 122); the cell edges are 4.443, 4.443 and 16.536 Å and the angles 90.00°, 90.00° and 90.00°. The distinct sites, in fractional coordinates, are La at (0.000, 0.000, 0.000), Zn at (0.000, 0.000, 0.500) and Co at (0.043, 0.250, 0.625).

Please write out number 5 again, unchanged.
The following is a PBE calculation of a relaxed structure of La3Zn2Co7, from the Alexandria database.

The calculation puts the calculated formation energy at -0.092 eV/atom. For the density of states at the Fermi level, the calculation gives 16.99 states/eV/f.u.

The structure belongs to space group R-3m (No. 166, hexagonal axes); the cell edges are 5.1579, 5.1579 and 25.0023 Å and the angles 90.00°, 90.00° and 120.00°. The distinct sites, in fractional coordinates, are La at (0.0000, 0.0000, 0.0000), La at (0.0000, 0.0000, 0.1389), Zn at (0.0000, 0.0000, 0.3328), Co at (0.0000, 0.0000, 0.5000) and Co at (0.0036, 0.5018, 0.0821).

> Among the records above, which one has the highest calculated formation energy?

LaZnCo2

> calculated formation energy of number 2 (La5Zn2Co)?

-0.190 eV/atom